(1)
Compound: Li2ThPaTe4
Source: Alexandria via LeMat-Bulk
Functional: GGA-PBE
Structure: optimized geometry

Space group: P2/m, No. 10
Calculated total energy, eV per atom: -5.122
Crystal system: monoclinic

Cell: 7.3799 4.2386 7.7726 Å, 90.00 108.32 90.00°
Last column: nearest neighbours and their distance in Å.
Fractional positions:
1 Li 0.0000 0.0000 0.0000  6 Te 3.01-3.02
2 Li 0.5000 0.5000 0.0000  6 Te 2.97-2.98
3 Th 0.0000 0.5000 0.5000  6 Te 3.17
4 Pa 0.5000 0.0000 0.5000  6 Te 3.13
5 Te 0.2487 0.5000 0.2336  3 Li 2.98-3.01, 2 Pa 3.13, 1 Th 3.17
6 Te 0.2611 0.0000 0.7694  3 Li 2.97-3.02, 1 Pa 3.13, 2 Th 3.17
7 Te 0.7389 0.0000 0.2306  3 Li 2.97-3.02, 1 Pa 3.13, 2 Th 3.17
8 Te 0.7513 0.5000 0.7664  3 Li 2.98-3.01, 2 Pa 3.13, 1 Th 3.17

(2)
Compound: Li4Pa3TiTe8
Source: Alexandria via LeMat-Bulk
Functional: GGA-PBE
Structure: optimized geometry

Space group: R-3m, No. 166
Calculated total energy, eV per atom: -5.156
Crystal system: trigonal

Cell: 8.7471 8.7471 8.7471 Å, 56.92 56.92 56.92°
Last column: nearest neighbours and their distance in Å.
Fractional positions:
1 Li 0.0000 0.0000 0.0000  6 Te 3.10
2 Li 0.0000 0.5000 0.5000  6 Te 2.94-2.95
3 Li 0.5000 0.0000 0.5000  6 Te 2.94-2.95
4 Li 0.5000 0.5000 0.0000  6 Te 2.94-2.95
5 Pa 0.0000 0.0000 0.5000  6 Te 3.09-3.11
6 Pa 0.0000 0.5000 0.0000  6 Te 3.09-3.11
7 Pa 0.5000 0.0000 0.0000  6 Te 3.09-3.11
8 Ti 0.5000 0.5000 0.5000  6 Te 2.95
9 Te 0.2564 0.2564 0.2564  3 Li 2.94, 3 Pa 3.11
10 Te 0.2569 0.2569 0.7315  1 Ti 2.95, 3 Li 2.95-3.10, 2 Pa 3.09
11 Te 0.2569 0.7315 0.2569  1 Ti 2.95, 3 Li 2.95-3.10, 2 Pa 3.09
12 Te 0.2685 0.7431 0.7431  1 Ti 2.95, 3 Li 2.95-3.10, 2 Pa 3.09
13 Te 0.7315 0.2569 0.2569  1 Ti 2.95, 3 Li 2.95-3.10, 2 Pa 3.09
14 Te 0.7431 0.2685 0.7431  1 Ti 2.95, 3 Li 2.95-3.10, 2 Pa 3.09
15 Te 0.7431 0.7431 0.2685  1 Ti 2.95, 3 Li 2.95-3.10, 2 Pa 3.09
16 Te 0.7436 0.7436 0.7436  3 Li 2.94, 3 Pa 3.11

(3)
Compound: Li3PaTi2Te6
Source: Alexandria via LeMat-Bulk
Functional: GGA-PBE
Structure: optimized geometry

Space group: C2/m, No. 12
Calculated total energy, eV per atom: -4.987
Crystal system: monoclinic

Cell: 7.0386 7.0386 7.5092 Å, 98.95 98.95 119.86°
Last column: nearest neighbours and their distance in Å.
Fractional positions:
1 Li 0.0000 0.0000 0.0000  6 Te 2.89-2.97
2 Li 0.3465 0.6535 0.0000  6 Te 2.96-3.02
3 Li 0.6535 0.3465 0.0000  6 Te 2.96-3.02
4 Pa 0.5000 0.5000 0.5000  6 Te 3.01-3.06
5 Ti 0.1814 0.8186 0.5000  6 Te 2.82-2.95
6 Ti 0.8186 0.1814 0.5000  6 Te 2.82-2.95
7 Te 0.0630 0.4113 0.2481  2 Ti 2.82-2.89, 3 Li 2.96-3.02, 1 Pa 3.06
8 Te 0.2222 0.2222 0.7346  3 Li 2.89-2.98, 2 Ti 2.95, 1 Pa 3.01
9 Te 0.4113 0.0630 0.2481  2 Ti 2.82-2.89, 3 Li 2.96-3.02, 1 Pa 3.06
10 Te 0.5887 0.9370 0.7519  2 Ti 2.82-2.89, 3 Li 2.96-3.02, 1 Pa 3.06
11 Te 0.7778 0.7778 0.2654  3 Li 2.89-2.98, 2 Ti 2.95, 1 Pa 3.01
12 Te 0.9370 0.5887 0.7519  2 Ti 2.82-2.89, 3 Li 2.96-3.02, 1 Pa 3.06

(4)
Compound: Li3Pa2TlTe6
Source: Alexandria via LeMat-Bulk
Functional: GGA-PBE
Structure: optimized geometry

Space group: C2/m, No. 12
Calculated total energy, eV per atom: -4.620
Crystal system: monoclinic

Cell: 9.6418 9.6418 9.0775 Å, 99.44 99.44 26.15°
Last column: nearest neighbours and their distance in Å.
Fractional positions:
1 Li 0.0000 0.0000 0.0000  6 Te 2.96-3.09
2 Li 0.3414 0.3414 0.6715  6 Te 2.99-3.30
3 Li 0.6586 0.6586 0.3285  6 Te 2.99-3.30
4 Pa 0.3356 0.3356 0.1622  6 Te 2.95-3.13
5 Pa 0.6644 0.6644 0.8378  6 Te 2.95-3.13
6 Tl 0.0000 0.0000 0.5000  6 Te 3.35
7 Te 0.1666 0.1666 0.0862  3 Li 3.09-3.12, 3 Pa 3.13
8 Te 0.1798 0.1798 0.6045  3 Li 2.99-3.30, 2 Pa 3.09, 1 Tl 3.35
9 Te 0.4950 0.4950 0.2187  1 Pa 2.95, 3 Li 2.96-3.07
10 Te 0.5050 0.5050 0.7813  1 Pa 2.95, 3 Li 2.96-3.07
11 Te 0.8202 0.8202 0.3955  3 Li 2.99-3.30, 2 Pa 3.09, 1 Tl 3.35
12 Te 0.8334 0.8334 0.9138  3 Li 3.09-3.12, 3 Pa 3.13

(5)
Compound: LiPaTl2Te4
Source: Alexandria via LeMat-Bulk
Functional: GGA-PBE
Structure: optimized geometry

Space group: P2/m, No. 10
Calculated total energy, eV per atom: -4.258
Crystal system: monoclinic

Cell: 7.4539 4.4891 8.4864 Å, 90.00 107.18 90.00°
Last column: nearest neighbours and their distance in Å.
Fractional positions:
1 Li 0.0000 0.0000 0.0000  6 Te 3.02-3.10
2 Pa 0.5000 0.5000 0.0000  6 Te 2.94-3.06
3 Tl 0.0000 0.5000 0.5000  6 Te 3.49-3.50
4 Tl 0.5000 0.0000 0.5000  6 Te 3.42-3.46
5 Te 0.2474 0.5000 0.2079  1 Pa 2.94, 2 Li 3.10
6 Te 0.2662 0.0000 0.7915  1 Li 3.02, 2 Pa 3.06
7 Te 0.7338 0.0000 0.2085  1 Li 3.02, 2 Pa 3.06
8 Te 0.7526 0.5000 0.7921  1 Pa 2.94, 2 Li 3.10

(6)
Compound: Li2PaTl2Te4
Source: Alexandria via LeMat-Bulk
Functional: GGA-PBE
Structure: optimized geometry

Space group: C2/m, No. 12
Calculated total energy, eV per atom: -4.131
Crystal system: monoclinic

Cell: 8.5271 8.5271 8.2708 Å, 110.30 110.30 30.83°
Last column: nearest neighbours and their distance in Å.
Fractional positions:
1 Li 0.1828 0.1828 0.4908  4 Te 2.77-2.85
2 Li 0.8172 0.8172 0.5092  4 Te 2.77-2.85
3 Pa 0.5000 0.5000 0.5000  6 Te 3.10
4 Tl 0.3618 0.3618 0.9335  7 Te 3.51-3.76, 1 Li 3.78
5 Tl 0.6382 0.6382 0.0665  7 Te 3.51-3.76, 1 Li 3.78
6 Te 0.0134 0.0134 0.2554  1 Li 2.77
7 Te 0.2996 0.2996 0.3066  3 Li 2.77-2.85, 1 Pa 3.10
8 Te 0.7004 0.7004 0.6934  3 Li 2.77-2.85, 1 Pa 3.10
9 Te 0.9866 0.9866 0.7446  1 Li 2.77

(7)
Compound: LiPa3Tl4Te8
Source: Alexandria via LeMat-Bulk
Functional: GGA-PBE
Structure: optimized geometry

Space group: R-3m, No. 166
Calculated total energy, eV per atom: -4.718
Crystal system: trigonal

Cell: 9.7253 9.7253 9.7253 Å, 53.85 53.85 53.85°
Last column: nearest neighbours and their distance in Å.
Fractional positions:
1 Li 0.0000 0.0000 0.0000  6 Te 3.10
2 Pa 0.0000 0.5000 0.5000  6 Te 3.09-3.12
3 Pa 0.5000 0.0000 0.5000  6 Te 3.09-3.12
4 Pa 0.5000 0.5000 0.0000  6 Te 3.09-3.12
5 Tl 0.0000 0.0000 0.5000  6 Te 3.45-3.49
6 Tl 0.0000 0.5000 0.0000  6 Te 3.45-3.49
7 Tl 0.5000 0.0000 0.0000  6 Te 3.45-3.49
8 Tl 0.5000 0.5000 0.5000  6 Te 3.48
9 Te 0.2377 0.2377 0.7362  2 Pa 3.09, 1 Li 3.10
10 Te 0.2377 0.7362 0.2377  2 Pa 3.09, 1 Li 3.10
11 Te 0.2606 0.2606 0.2606  3 Pa 3.12, 3 Tl 3.45
12 Te 0.2638 0.7623 0.7623  2 Pa 3.09, 1 Li 3.10
13 Te 0.7362 0.2377 0.2377  2 Pa 3.09, 1 Li 3.10
14 Te 0.7394 0.7394 0.7394  3 Pa 3.12, 3 Tl 3.45
15 Te 0.7623 0.2638 0.7623  2 Pa 3.09, 1 Li 3.10
16 Te 0.7623 0.7623 0.2638  2 Pa 3.09, 1 Li 3.10

(8)
Compound: LiPaTlTe3
Source: Alexandria via LeMat-Bulk
Functional: GGA-PBE
Structure: optimized geometry

Space group: P2_1/m, No. 11
Calculated total energy, eV per atom: -4.616
Crystal system: monoclinic

Cell: 9.6288 4.4338 10.0435 Å, 90.00 105.99 90.00°
Last column: nearest neighbours and their distance in Å.
Fractional positions:
1 Li 0.0788 0.2500 0.0937  4 Te 2.76-2.81, 2 Li 3.03
2 Li 0.9212 0.7500 0.9063  4 Te 2.76-2.81, 2 Li 3.03
3 Pa 0.3264 0.7500 0.3439  6 Te 3.01-3.12
4 Pa 0.6736 0.2500 0.6561  6 Te 3.01-3.12
5 Tl 0.1937 0.2500 0.7482  7 Te 3.57-3.66, 1 Li 3.92
6 Tl 0.8063 0.7500 0.2518  7 Te 3.57-3.66, 1 Li 3.92
7 Te 0.1169 0.2500 0.3780  1 Li 2.78, 2 Pa 3.08
8 Te 0.2205 0.7500 0.0322  3 Li 2.76-2.81, 1 Pa 3.01
9 Te 0.4503 0.7500 0.6656  3 Pa 3.11-3.12
10 Te 0.5497 0.2500 0.3344  3 Pa 3.11-3.12
11 Te 0.7795 0.2500 0.9678  3 Li 2.76-2.81, 1 Pa 3.01
12 Te 0.8831 0.7500 0.6220  1 Li 2.78, 2 Pa 3.08

(9)
Compound: Li2PaTl3Te6
Source: Alexandria via LeMat-Bulk
Functional: GGA-PBE
Structure: optimized geometry

Space group: C2/m, No. 12
Calculated total energy, eV per atom: -3.829
Crystal system: monoclinic

Cell: 7.6291 7.6291 7.9910 Å, 99.16 99.16 119.77°
Last column: nearest neighbours and their distance in Å.
Fractional positions:
1 Li 0.1686 0.8314 0.0000  6 Te 3.01-3.06
2 Li 0.8314 0.1686 0.0000  6 Te 3.01-3.06
3 Pa 0.5000 0.5000 0.0000  6 Te 3.01-3.02
4 Tl 0.0000 0.0000 0.5000  6 Te 3.32-3.35
5 Tl 0.3412 0.6588 0.5000  6 Te 3.28-3.41
6 Tl 0.6588 0.3412 0.5000  6 Te 3.28-3.41
7 Te 0.0985 0.4301 0.7815  2 Li 3.01-3.06, 1 Pa 3.02, 2 Tl 3.30-3.32
8 Te 0.2383 0.2383 0.2132  1 Pa 3.01, 2 Li 3.03, 3 Tl 3.28-3.35
9 Te 0.4301 0.0985 0.7815  2 Li 3.01-3.06, 1 Pa 3.02, 2 Tl 3.30-3.32
10 Te 0.5699 0.9015 0.2185  2 Li 3.01-3.06, 1 Pa 3.02, 2 Tl 3.30-3.32
11 Te 0.7617 0.7617 0.7868  1 Pa 3.01, 2 Li 3.03, 3 Tl 3.28-3.35
12 Te 0.9015 0.5699 0.2185  2 Li 3.01-3.06, 1 Pa 3.02, 2 Tl 3.30-3.32

(10)
Compound: Li2Tm2PaTe6
Source: Alexandria via LeMat-Bulk
Functional: GGA-PBE
Structure: optimized geometry

Space group: C2/m, No. 12
Calculated total energy, eV per atom: -4.869
Crystal system: monoclinic

Cell: 7.4644 7.4644 7.5145 Å, 99.56 99.56 119.80°
Last column: nearest neighbours and their distance in Å.
Fractional positions:
1 Li 0.1664 0.8336 0.0000  6 Te 3.04-3.05
2 Li 0.8336 0.1664 0.0000  6 Te 3.04-3.05
3 Tm 0.3335 0.6665 0.5000  6 Te 3.06-3.07
4 Tm 0.6665 0.3335 0.5000  6 Te 3.06-3.07
5 Pa 0.0000 0.0000 0.5000  6 Te 3.08
6 Te 0.0833 0.4191 0.7526  2 Li 3.04-3.05, 2 Tm 3.06-3.07, 1 Pa 3.08
7 Te 0.2511 0.2511 0.2479  2 Li 3.05, 2 Tm 3.06, 1 Pa 3.08
8 Te 0.4191 0.0833 0.7526  2 Li 3.04-3.05, 2 Tm 3.06-3.07, 1 Pa 3.08
9 Te 0.5809 0.9167 0.2474  2 Li 3.04-3.05, 2 Tm 3.06-3.07, 1 Pa 3.08
10 Te 0.7489 0.7489 0.7521  2 Li 3.05, 2 Tm 3.06, 1 Pa 3.08
11 Te 0.9167 0.5809 0.2474  2 Li 3.04-3.05, 2 Tm 3.06-3.07, 1 Pa 3.08

(11)
Compound: Li2TmPaTe4
Source: Alexandria via LeMat-Bulk
Functional: GGA-PBE
Structure: optimized geometry

Space group: P2/m, No. 10
Calculated total energy, eV per atom: -4.831
Crystal system: monoclinic

Cell: 7.4474 4.2329 7.5662 Å, 90.00 108.67 90.00°
Last column: nearest neighbours and their distance in Å.
Fractional positions:
1 Li 0.0000 0.0000 0.0000  6 Te 2.98-3.00
2 Li 0.5000 0.5000 0.0000  6 Te 3.03-3.04
3 Tm 0.0000 0.5000 0.5000  6 Te 3.06-3.07
4 Pa 0.5000 0.0000 0.5000  6 Te 3.10-3.11
5 Te 0.2401 0.5000 0.2380  3 Li 2.98-3.04, 1 Tm 3.07, 2 Pa 3.11
6 Te 0.2480 0.0000 0.7564  3 Li 3.00-3.03, 2 Tm 3.06, 1 Pa 3.10
7 Te 0.7520 0.0000 0.2436  3 Li 3.00-3.03, 2 Tm 3.06, 1 Pa 3.10
8 Te 0.7599 0.5000 0.7620  3 Li 2.98-3.04, 1 Tm 3.07, 2 Pa 3.11

(12)
Compound: Li4Tm3PaTe8
Source: Alexandria via LeMat-Bulk
Functional: GGA-PBE
Structure: optimized geometry

Space group: R-3m, No. 166
Calculated total energy, eV per atom: -4.626
Crystal system: trigonal

Cell: 8.6478 8.6478 8.6478 Å, 59.47 59.47 59.47°
Last column: nearest neighbours and their distance in Å.
Fractional positions:
1 Li 0.0000 0.0000 0.0000  6 Te 2.99
2 Li 0.0000 0.5000 0.5000  6 Te 3.03
3 Li 0.5000 0.0000 0.5000  6 Te 3.03
4 Li 0.5000 0.5000 0.0000  6 Te 3.03
5 Tm 0.0000 0.0000 0.5000  6 Te 3.06
6 Tm 0.0000 0.5000 0.0000  6 Te 3.06
7 Tm 0.5000 0.0000 0.0000  6 Te 3.06
8 Pa 0.5000 0.5000 0.5000  6 Te 3.10
9 Te 0.2453 0.2453 0.7521  3 Li 2.99-3.03, 2 Tm 3.06, 1 Pa 3.10
10 Te 0.2453 0.7521 0.2453  3 Li 2.99-3.03, 2 Tm 3.06, 1 Pa 3.10
11 Te 0.2479 0.7547 0.7547  3 Li 2.99-3.03, 2 Tm 3.06, 1 Pa 3.10
12 Te 0.2509 0.2509 0.2509  3 Li 3.03, 3 Tm 3.06
13 Te 0.7491 0.7491 0.7491  3 Li 3.03, 3 Tm 3.06
14 Te 0.7521 0.2453 0.2453  3 Li 2.99-3.03, 2 Tm 3.06, 1 Pa 3.10
15 Te 0.7547 0.2479 0.7547  3 Li 2.99-3.03, 2 Tm 3.06, 1 Pa 3.10
16 Te 0.7547 0.7547 0.2479  3 Li 2.99-3.03, 2 Tm 3.06, 1 Pa 3.10

Computed raw formation energy, in the same sequence as the records: -0.9582 -0.8329 -0.8308 -0.7910 -0.6690 -0.7280 -0.6552 -0.7496 -0.5568 -1.1315 -1.0356 -1.1449 eV/atom.